# Ca3CrN3 | Alexandria | GGA-PBEsol | relaxed
data_Ca3CrN3
_space_group_name_H-M_alt 'C m c m'
_space_group_IT_number 63
_space_group_name_Hall '-C 2c 2'
_cell_length_a 8.315
_cell_length_b 10.122
_cell_length_c 5.001
_cell_angle_alpha 90.00
_cell_angle_beta 90.00
_cell_angle_gamma 90.00
loop_
_atom_site_label
_atom_site_fract_x
_atom_site_fract_y
_atom_site_fract_z
Ca1 0.000 0.107 0.250
Ca2 0.212 0.382 0.250
Cr1 0.000 0.304 0.750
N1 0.000 0.127 0.750
N2 0.192 0.374 0.750
# Energy, Ha/atom: -0.2599
# Raw formation energy, kJ/mol of formula units: -703
# Crystal system: orthorhombic


# Ca2NbCrO6 | Alexandria | GGA-PBEsol | relaxed
data_Ca2NbCrO6
_space_group_name_H-M_alt 'P 1 21/c 1'
_space_group_IT_number 14
_space_group_name_Hall '-P 2ybc'
_cell_length_a 5.384
_cell_length_b 5.509
_cell_length_c 9.356
_cell_angle_alpha 90.00
_cell_angle_beta 124.86
_cell_angle_gamma 90.00
loop_
_atom_site_label
_atom_site_fract_x
_atom_site_fract_y
_atom_site_fract_z
Ca1 0.237 0.048 0.248
Nb1 0.500 0.000 0.000
Cr1 0.000 0.000 0.500
O1 0.159 0.209 0.957
O2 0.247 0.705 0.955
O3 0.332 0.023 0.747
# Energy, Ha/atom: -0.3091
# Raw formation energy, kJ/mol of formula units: -2632
# Crystal system: monoclinic


# SrCaNbCrO6 | Alexandria | GGA-PBEsol | relaxed
data_SrCaNbCrO6
_space_group_name_H-M_alt 'P 1 c 1'
_space_group_IT_number 7
_space_group_name_Hall 'P -2yc'
_cell_length_a 5.489
_cell_length_b 5.528
_cell_length_c 9.508
_cell_angle_alpha 90.00
_cell_angle_beta 125.16
_cell_angle_gamma 90.00
loop_
_atom_site_label
_atom_site_fract_x
_atom_site_fract_y
_atom_site_fract_z
Sr1 0.000 0.228 0.000
Ca1 0.485 0.290 0.498
Nb1 0.746 0.248 0.250
Cr1 0.246 0.249 0.749
O1 0.004 0.472 0.781
O2 0.075 0.036 0.288
O3 0.437 0.476 0.220
O4 0.494 0.040 0.710
O5 0.547 0.267 0.997
O6 0.921 0.240 0.502
# Energy, Ha/atom: -0.3076
# Raw formation energy, kJ/mol of formula units: -2622
# Crystal system: monoclinic


# CaNb2CrP | Alexandria | GGA-PBEsol | relaxed
data_CaNb2CrP
_space_group_name_H-M_alt 'P 4/m m m'
_space_group_IT_number 123
_space_group_name_Hall '-P 4 2'
_cell_length_a 4.440
_cell_length_b 4.440
_cell_length_c 5.339
_cell_angle_alpha 90.00
_cell_angle_beta 90.00
_cell_angle_gamma 90.00
loop_
_atom_site_label
_atom_site_fract_x
_atom_site_fract_y
_atom_site_fract_z
Ca1 0.000 0.000 0.000
Nb1 0.000 0.500 0.500
Cr1 0.000 0.000 0.500
P1 0.500 0.500 0.000
# Energy, Ha/atom: -0.2589
# ΔE_f, eV per atom: 0.92
# Crystal system: tetragonal


# CaNd3Cr4O16 | Alexandria | GGA-PBEsol | relaxed
data_CaNd3Cr4O16
_space_group_name_H-M_alt 'P -4 m 2'
_space_group_IT_number 115
_space_group_name_Hall 'P -4 -2'
_cell_length_a 7.284
_cell_length_b 7.284
_cell_length_c 6.325
_cell_angle_alpha 90.00
_cell_angle_beta 90.00
_cell_angle_gamma 90.00
loop_
_atom_site_label
_atom_site_fract_x
_atom_site_fract_y
_atom_site_fract_z
Ca1 0.000 0.000 0.000
Nd1 0.000 0.500 0.249
Nd2 0.500 0.500 0.500
Cr1 0.000 0.000 0.500
Cr2 0.000 0.500 0.752
Cr3 0.500 0.500 0.000
O1 0.000 0.180 0.337
O2 0.000 0.321 0.918
O3 0.179 0.500 0.582
O4 0.320 0.500 0.171
# Energy, Ha/atom: -0.3115
# Raw formation energy, kJ/mol of formula units: -5871
# Crystal system: tetragonal


# CaNdCrO4 | Alexandria | GGA-PBEsol | relaxed
data_CaNdCrO4
_space_group_name_H-M_alt 'I 4 m m'
_space_group_IT_number 107
_space_group_name_Hall 'I 4 -2'
_cell_length_a 3.786
_cell_length_b 3.786
_cell_length_c 11.929
_cell_angle_alpha 90.00
_cell_angle_beta 90.00
_cell_angle_gamma 90.00
loop_
_atom_site_label
_atom_site_fract_x
_atom_site_fract_y
_atom_site_fract_z
Ca1 0.000 0.000 0.000
Nd1 0.000 0.000 0.282
Cr1 0.000 0.000 0.636
O1 0.000 0.000 0.473
O2 0.000 0.000 0.811
O3 0.000 0.500 0.147
# Energy, Ha/atom: -0.3045
# Raw formation energy, kJ/mol of formula units: -1878
# Crystal system: tetragonal


# CaCr2Ni | Alexandria | GGA-PBEsol | relaxed
data_CaCr2Ni
_space_group_name_H-M_alt 'C 1 2/m 1'
_space_group_IT_number 12
_space_group_name_Hall '-C 2y'
_cell_length_a 4.889
_cell_length_b 9.364
_cell_length_c 2.495
_cell_angle_alpha 90.00
_cell_angle_beta 107.34
_cell_angle_gamma 90.00
loop_
_atom_site_label
_atom_site_fract_x
_atom_site_fract_y
_atom_site_fract_z
Ca1 0.000 0.000 0.000
Cr1 0.250 0.250 0.500
Ni1 0.000 0.500 0.000
# Energy, Ha/atom: -0.2338
# ΔE_f, eV per atom: 0.83
# Crystal system: monoclinic
# Energy above the most stable polymorph in this dataset, meV per atom: 0.0


# CaCr2Ni | Alexandria | GGA-PBEsol | relaxed
data_CaCr2Ni
_space_group_name_H-M_alt 'I 4/m m m'
_space_group_IT_number 139
_space_group_name_Hall '-I 4 2'
_cell_length_a 3.517
_cell_length_b 3.517
_cell_length_c 9.171
_cell_angle_alpha 90.00
_cell_angle_beta 90.00
_cell_angle_gamma 90.00
loop_
_atom_site_label
_atom_site_fract_x
_atom_site_fract_y
_atom_site_fract_z
Ca1 0.000 0.000 0.000
Cr1 0.000 0.500 0.250
Ni1 0.000 0.000 0.500
# Energy, Ha/atom: -0.2330
# ΔE_f, eV per atom: 0.85
# Crystal system: tetragonal
# Energy above the most stable polymorph in this dataset, meV per atom: 21.1


# Ca4CrNi | Alexandria | GGA-PBEsol | relaxed
data_Ca4CrNi
_space_group_name_H-M_alt 'F -4 3 m'
_space_group_IT_number 216
_space_group_name_Hall 'F -4 2 3'
_cell_length_a 8.841
_cell_length_b 8.841
_cell_length_c 8.841
_cell_angle_alpha 90.00
_cell_angle_beta 90.00
_cell_angle_gamma 90.00
loop_
_atom_site_label
_atom_site_fract_x
_atom_site_fract_y
_atom_site_fract_z
Ca1 0.125 0.125 0.125
Cr1 0.000 0.000 0.500
Ni1 0.250 0.250 0.750
# Energy, Ha/atom: -0.1137
# ΔE_f, eV per atom: 1.06
# Crystal system: cubic


# Ca2CrNi | Alexandria | GGA-PBEsol | relaxed
data_Ca2CrNi
_space_group_name_H-M_alt 'P 4 m m'
_space_group_IT_number 99
_space_group_name_Hall 'P 4 -2'
_cell_length_a 3.305
_cell_length_b 3.305
_cell_length_c 8.182
_cell_angle_alpha 90.00
_cell_angle_beta 90.00
_cell_angle_gamma 90.00
loop_
_atom_site_label
_atom_site_fract_x
_atom_site_fract_y
_atom_site_fract_z
Ca1 0.000 0.000 0.000
Ca2 0.500 0.500 0.394
Cr1 0.000 0.000 0.654
Ni1 0.500 0.500 0.754
# Energy, Ha/atom: -0.1766
# ΔE_f, eV per atom: 0.36
# Crystal system: tetragonal


# CaCrNi2 | Alexandria | GGA-PBEsol | relaxed
data_CaCrNi2
_space_group_name_H-M_alt 'P 4/m m m'
_space_group_IT_number 123
_space_group_name_Hall '-P 4 2'
_cell_length_a 4.410
_cell_length_b 4.410
_cell_length_c 2.976
_cell_angle_alpha 90.00
_cell_angle_beta 90.00
_cell_angle_gamma 90.00
loop_
_atom_site_label
_atom_site_fract_x
_atom_site_fract_y
_atom_site_fract_z
Ca1 0.000 0.000 0.000
Cr1 0.500 0.500 0.000
Ni1 0.000 0.500 0.500
# Energy, Ha/atom: -0.2137
# ΔE_f, eV per atom: 0.36
# Crystal system: tetragonal
# Energy above the most stable polymorph in this dataset, meV per atom: 0.0


# CaCrNi2 | Alexandria | GGA-PBEsol | relaxed
data_CaCrNi2
_space_group_name_H-M_alt 'I m m 2'
_space_group_IT_number 44
_space_group_name_Hall 'I 2 -2'
_cell_length_a 2.898
_cell_length_b 4.441
_cell_length_c 9.275
_cell_angle_alpha 90.00
_cell_angle_beta 90.00
_cell_angle_gamma 90.00
loop_
_atom_site_label
_atom_site_fract_x
_atom_site_fract_y
_atom_site_fract_z
Ca1 0.000 0.000 0.000
Cr1 0.000 0.500 0.790
Ni1 0.000 0.000 0.519
Ni2 0.000 0.500 0.231
# Energy, Ha/atom: -0.2109
# ΔE_f, eV per atom: 0.43
# Crystal system: orthorhombic
# Energy above the most stable polymorph in this dataset, meV per atom: 74.9


# CaCr3Ni | Alexandria | GGA-PBEsol | relaxed
data_CaCr3Ni
_space_group_name_H-M_alt 'P m -3 m'
_space_group_IT_number 221
_space_group_name_Hall '-P 4 2 3'
_cell_length_a 4.102
_cell_length_b 4.102
_cell_length_c 4.102
_cell_angle_alpha 90.00
_cell_angle_beta 90.00
_cell_angle_gamma 90.00
loop_
_atom_site_label
_atom_site_fract_x
_atom_site_fract_y
_atom_site_fract_z
Ca1 0.000 0.000 0.000
Cr1 0.000 0.000 0.500
Ni1 0.500 0.500 0.500
# Energy, Ha/atom: -0.1888
# ΔE_f, eV per atom: 2.67
# Crystal system: cubic


# Ca2CrReNi | Alexandria | GGA-PBEsol | relaxed
data_Ca2CrReNi
_space_group_name_H-M_alt 'P 4/m m m'
_space_group_IT_number 123
_space_group_name_Hall '-P 4 2'
_cell_length_a 5.078
_cell_length_b 5.078
_cell_length_c 4.359
_cell_angle_alpha 90.00
_cell_angle_beta 90.00
_cell_angle_gamma 90.00
loop_
_atom_site_label
_atom_site_fract_x
_atom_site_fract_y
_atom_site_fract_z
Ca1 0.000 0.500 0.000
Cr1 0.000 0.000 0.500
Re1 0.500 0.500 0.500
Ni1 0.000 0.000 0.000
# Energy, Ha/atom: -0.1988
# ΔE_f, eV per atom: 1.39
# Crystal system: tetragonal


# CaCr2O4 | Alexandria | GGA-PBEsol | relaxed
data_CaCr2O4
_space_group_name_H-M_alt 'P 3 m 1'
_space_group_IT_number 156
_space_group_name_Hall 'P 3 -2"'
_cell_length_a 6.0960
_cell_length_b 6.0960
_cell_length_c 15.0540
_cell_angle_alpha 90.00
_cell_angle_beta 90.00
_cell_angle_gamma 120.00
loop_
_atom_site_label
_atom_site_fract_x
_atom_site_fract_y
_atom_site_fract_z
Ca1 0.0000 0.0000 0.0000
Ca2 0.0000 0.0000 0.2470
Ca3 0.0000 0.0000 0.6226
Ca4 0.3333 0.6667 0.3336
Ca5 0.6667 0.3333 0.6633
Ca6 0.6667 0.3333 0.9101
Cr1 0.0005 0.5002 0.1218
Cr2 0.1669 0.3338 0.7917
Cr3 0.3333 0.6667 0.5700
Cr4 0.3333 0.6667 0.9569
Cr5 0.3390 0.1695 0.4514
Cr6 0.6667 0.3333 0.2856
O1 0.0000 0.0000 0.3920
O2 0.0000 0.0000 0.8569
O3 0.0575 0.5287 0.8674
O4 0.1664 0.3328 0.5213
O5 0.1932 0.3863 0.0465
O6 0.3034 0.1517 0.7278
O7 0.3333 0.6667 0.1874
O8 0.3333 0.6667 0.7163
O9 0.3850 0.1925 0.1980
O10 0.5282 0.0565 0.3756
O11 0.6667 0.3333 0.0569
O12 0.6667 0.3333 0.5161
# Energy, Ha/atom: -0.3095
# Raw formation energy, kJ/mol of formula units: -1481
# Crystal system: trigonal
# Energy above the most stable polymorph in this dataset, meV per atom: 99.6


# Ca2Cr3O8 | Alexandria | GGA-PBEsol | relaxed
data_Ca2Cr3O8
_space_group_name_H-M_alt 'C 1 2/m 1'
_space_group_IT_number 12
_space_group_name_Hall '-C 2y'
_cell_length_a 10.913
_cell_length_b 5.906
_cell_length_c 4.947
_cell_angle_alpha 90.00
_cell_angle_beta 110.29
_cell_angle_gamma 90.00
loop_
_atom_site_label
_atom_site_fract_x
_atom_site_fract_y
_atom_site_fract_z
Ca1 0.226 0.000 0.168
Cr1 0.000 0.236 0.500
Cr2 0.000 0.500 0.000
O1 0.097 0.500 0.405
O2 0.101 0.280 0.889
O3 0.104 0.000 0.463
# Energy, Ha/atom: -0.3030
# Raw formation energy, kJ/mol of formula units: -2912
# Crystal system: monoclinic


# CaCr2O4 | Alexandria | GGA-PBEsol | relaxed
data_CaCr2O4
_space_group_name_H-M_alt 'P n m a'
_space_group_IT_number 62
_space_group_name_Hall '-P 2ac 2n'
_cell_length_a 8.985
_cell_length_b 2.980
_cell_length_c 10.546
_cell_angle_alpha 90.00
_cell_angle_beta 90.00
_cell_angle_gamma 90.00
loop_
_atom_site_label
_atom_site_fract_x
_atom_site_fract_y
_atom_site_fract_z
Ca1 0.240 0.250 0.159
Cr1 0.060 0.250 0.387
Cr2 0.084 0.250 0.899
O1 0.029 0.750 0.786
O2 0.080 0.250 0.574
O3 0.117 0.750 0.024
O4 0.202 0.750 0.339
# Energy, Ha/atom: -0.3132
# Raw formation energy, kJ/mol of formula units: -1548
# Crystal system: orthorhombic
# Energy above the most stable polymorph in this dataset, meV per atom: 0.0


# CaCr2O4 | Alexandria | GGA-PBEsol | relaxed
data_CaCr2O4
_space_group_name_H-M_alt 'R 3 m'
_space_group_IT_number 160
_space_group_name_Hall 'R 3 -2"'
_cell_length_a 5.9119
_cell_length_b 5.9119
_cell_length_c 16.5068
_cell_angle_alpha 90.00
_cell_angle_beta 90.00
_cell_angle_gamma 120.00
loop_
_atom_site_label
_atom_site_fract_x
_atom_site_fract_y
_atom_site_fract_z
Ca1 0.0000 0.0000 0.0000
Ca2 0.0000 0.0000 0.3470
Cr1 0.0000 0.0000 0.5133
Cr2 0.0067 0.5034 0.4973
O1 0.0000 0.0000 0.2193
O2 0.0000 0.0000 0.7722
O3 0.1680 0.3360 0.1019
O4 0.1711 0.3422 0.5644
# Energy, Ha/atom: -0.3094
# Raw formation energy, kJ/mol of formula units: -1479
# Crystal system: trigonal
# Energy above the most stable polymorph in this dataset, meV per atom: 102.1


# CaCr2O4 | Alexandria | GGA-PBEsol | relaxed
data_CaCr2O4
_space_group_name_H-M_alt 'C m c m'
_space_group_IT_number 63
_space_group_name_Hall '-C 2c 2'
_cell_length_a 2.986
_cell_length_b 9.692
_cell_length_c 9.843
_cell_angle_alpha 90.00
_cell_angle_beta 90.00
_cell_angle_gamma 90.00
loop_
_atom_site_label
_atom_site_fract_x
_atom_site_fract_y
_atom_site_fract_z
Ca1 0.000 0.111 0.250
Cr1 0.000 0.364 0.070
O1 0.000 0.000 0.000
O2 0.000 0.263 0.607
O3 0.000 0.442 0.250
# Energy, Ha/atom: -0.3110
# Raw formation energy, kJ/mol of formula units: -1507
# Crystal system: orthorhombic
# Energy above the most stable polymorph in this dataset, meV per atom: 60.3